# 1
CaTb6Sm4: relaxed, PBE.

Results
magnetization: 0.000 μB per atom
VASP energy: -4.089 eV/atom
formation energy from the elements: 0.33 eV/atom

```
CaTb6Sm4
1.0
-3.300 3.300 8.750
3.300 -3.300 8.750
3.300 3.300 -8.750
Ca Tb Sm
1 6 4
Direct
0.000 0.000 0.000
0.000 0.500 0.500
0.196 0.544 0.000
0.456 0.456 0.652
0.500 0.000 0.500
0.544 0.196 0.000
0.804 0.804 0.348
0.009 0.009 0.374
0.365 0.991 0.000
0.635 0.635 0.626
0.991 0.365 0.000
```

***

# 2
CaTb2Sm8: relaxed, PBE.

Results
magnetization: 0.000 μB per atom
VASP energy: -4.421 eV/atom
formation energy from the elements: 0.04 eV/atom

```
CaTb2Sm8
1.0
9.265 -2.568 0.000
9.265 2.568 0.000
-2.135 0.000 7.846
Ca Tb Sm
1 2 8
Direct
0.000 0.000 0.000
0.273 0.273 0.363
0.727 0.727 0.637
0.093 0.093 0.461
0.184 0.184 0.910
0.360 0.360 0.810
0.453 0.453 0.281
0.547 0.547 0.719
0.640 0.640 0.190
0.816 0.816 0.090
0.907 0.907 0.539
```

***

# 3
CaTb3Sm: relaxed, PBE.

Results
magnetization: 0.000 μB per atom
VASP energy: -3.787 eV/atom
formation energy from the elements: 0.34 eV/atom

```
CaTb3Sm
1.0
3.360 -8.910 0.000
3.360 8.910 0.000
0.000 0.000 6.390
Ca Tb Sm
2 6 2
Direct
0.188 0.812 0.750
0.812 0.188 0.250
0.000 0.000 0.000
0.000 0.000 0.500
0.125 0.388 0.750
0.388 0.125 0.250
0.612 0.875 0.750
0.875 0.612 0.250
0.447 0.553 0.250
0.553 0.447 0.750
```

***

# 4
Ca2TbSm: relaxed, PBE.

Results
magnetization: 0.000 μB per atom
ΔE to the lowest computed polymorph: 0.113 eV/atom
VASP energy: -3.178 eV/atom
formation energy from the elements: 0.16 eV/atom

```
Ca2TbSm
1.0
0.000 4.161 4.161
4.161 0.000 4.161
4.161 4.161 0.000
Ca Tb Sm
2 1 1
Direct
0.250 0.250 0.250
0.750 0.750 0.750
0.000 0.000 0.000
0.500 0.500 0.500
```

***

> formation energy from the elements of number 4 (Ca2TbSm)?

0.16 eV/atom